14
Lattice="3.864 0.000 0.975 1.398 7.231 2.604 0.011 0.089 8.100" Properties=species:S:1:pos:R:3 comment="Tm3Si4Rh7, optimized geometry, DFT PBE" total_energy_ev_per_atom=-7.23 e_form_raw_mev_per_atom=-1051 space_group=C2/m pbc="T T T"
Si 4.677 6.459 5.899
Si 0.597 0.861 5.780
Si 2.073 4.076 8.076
Si 3.201 3.244 3.603
Tm 0.705 3.660 5.352
Tm 3.748 6.052 9.581
Tm 1.526 1.268 2.098
Rh 2.258 1.799 7.342
Rh 2.360 6.165 6.935
Rh 0.000 0.000 0.000
Rh 1.466 4.297 2.337
Rh 3.016 5.522 4.337
Rh 2.913 1.155 4.743
Rh 3.808 3.023 9.342